Below is Tl2InPbF6 after structural relaxation, with properties calculated at the PBE level.

Structure (CIF):
```
data_Tl2InPbF6
_space_group_name_H-M_alt 'P 1'
_space_group_IT_number 1
_cell_length_a 6.4983
_cell_length_b 6.7749
_cell_length_c 9.3063
_cell_angle_alpha 90.00
_cell_angle_beta 90.00
_cell_angle_gamma 90.00
loop_
_space_group_symop_operation_xyz
'x,y,z'
loop_
_atom_site_label
_atom_site_type_symbol
_atom_site_fract_x
_atom_site_fract_y
_atom_site_fract_z
Pb1 Pb 0.5000 0.2701 0.0000
Pb2 Pb 0.0000 0.7299 0.5000
Tl1 Tl 0.5000 0.7842 0.2297
Tl2 Tl 0.0000 0.2158 0.2703
Tl3 Tl 0.0000 0.2158 0.7297
Tl4 Tl 0.5000 0.7842 0.7703
F1 F 0.7559 0.5376 0.0000
F2 F 0.7441 0.4624 0.5000
F3 F 0.2511 0.9898 0.0000
F4 F 0.7511 0.0102 0.5000
F5 F 0.2441 0.5376 0.0000
F6 F 0.0000 0.7957 0.7618
F7 F 0.5000 0.2043 0.2618
F8 F 0.2489 0.0102 0.5000
F9 F 0.7489 0.9898 0.0000
F10 F 0.2559 0.4624 0.5000
F11 F 0.5000 0.2043 0.7382
F12 F 0.0000 0.7957 0.2382
In1 In 0.5000 0.2375 0.5000
In2 In 0.0000 0.7625 0.0000
```

## Properties
DFT total energy: -85.39 eV/cell
Calculated volume: 409.7 Å³/cell
DOS at the Fermi energy: 7.248 states/eV/cell